# LaDy2Ru

A geometry-optimized LaDy2Ru structure (PBE-GGA, the Alexandria database).

Output
Energy of formation (eV/atom): -0.29

Cell: 6.467 7.291 9.477 Å, 90.00 90.00 90.00°
Fractional coordinates of all 16 atoms:
1 La 0.865 0.050 0.250
2 La 0.635 0.550 0.250
3 La 0.365 0.450 0.750
4 La 0.135 0.950 0.750
5 Dy 0.668 0.827 0.567
6 Dy 0.332 0.173 0.067
7 Dy 0.168 0.673 0.067
8 Dy 0.668 0.827 0.933
9 Dy 0.332 0.173 0.433
10 Dy 0.832 0.327 0.567
11 Dy 0.832 0.327 0.933
12 Dy 0.168 0.673 0.433
13 Ru 0.544 0.124 0.750
14 Ru 0.044 0.376 0.250
15 Ru 0.956 0.624 0.750
16 Ru 0.456 0.876 0.250